(A)
Compound: LaBAs2Br
Source: the Alexandria database
Functional: PBE
Structure: optimized geometry

The total magnetization is 1.07 μB/f.u.

It has space group P4/mmm (No. 123), with a = 5.804 Å, b = 5.804 Å, c = 5.775 Å, α = 90.00°, β = 90.00° and γ = 90.00°. The inequivalent atoms are La at (0.000, 0.000, 0.000), B at (0.500, 0.500, 0.500), As at (0.000, 0.500, 0.000) and Br at (0.000, 0.000, 0.500).

***

(B)
Compound: LaBAs2Br
Source: the Alexandria database
Functional: PBE
Structure: optimized geometry

The total magnetization is 0.00 μB/f.u.

It has space group P4/mmm (No. 123), with a = 4.441 Å, b = 4.441 Å, c = 5.408 Å, α = 90.00°, β = 90.00° and γ = 90.00°. The inequivalent atoms are La at (0.000, 0.000, 0.000), B at (0.500, 0.500, 0.500), As at (0.000, 0.500, 0.500) and Br at (0.500, 0.500, 0.000).

***

(B) ends up most stable, edging out the next structure by 111.7 kJ/mol of atoms.

***

(A)
Compound: BMoAs2Br
Source: the Alexandria database
Functional: PBE
Structure: optimized geometry

The total magnetization is 2.49 μB/f.u.

It has space group P4/mmm (No. 123), with a = 4.337 Å, b = 4.337 Å, c = 4.747 Å, α = 90.00°, β = 90.00° and γ = 90.00°. The inequivalent atoms are B at (0.000, 0.000, 0.000), Mo at (0.500, 0.500, 0.500), As at (0.000, 0.500, 0.000) and Br at (0.000, 0.000, 0.500).

***

(B)
Compound: BMoAs2Br
Source: the Alexandria database
Functional: PBE
Structure: optimized geometry

The total magnetization is 0.33 μB/f.u.

It has space group P4/mmm (No. 123), with a = 4.812 Å, b = 4.812 Å, c = 5.430 Å, α = 90.00°, β = 90.00° and γ = 90.00°. The inequivalent atoms are B at (0.000, 0.000, 0.000), Mo at (0.500, 0.500, 0.500), As at (0.000, 0.500, 0.500) and Br at (0.500, 0.500, 0.000).

***

(A) ends up most stable, edging out the next structure by 9.0 kJ/mol of atoms.

***

(A)
Compound: BMoAsBr2
Source: the Alexandria database
Functional: PBE
Structure: optimized geometry

The total magnetization is 1.85 μB/f.u.

It has space group P4/mmm (No. 123), with a = 5.273 Å, b = 5.273 Å, c = 4.869 Å, α = 90.00°, β = 90.00° and γ = 90.00°. The inequivalent atoms are B at (0.000, 0.000, 0.000), Mo at (0.500, 0.500, 0.500), As at (0.500, 0.500, 0.000) and Br at (0.000, 0.500, 0.500).

***

(B)
Compound: BMoAsBr2
Source: the Alexandria database
Functional: PBE
Structure: optimized geometry

The total magnetization is 3.23 μB/f.u.

It has space group P4/mmm (No. 123), with a = 4.581 Å, b = 4.581 Å, c = 4.681 Å, α = 90.00°, β = 90.00° and γ = 90.00°. The inequivalent atoms are B at (0.000, 0.000, 0.000), Mo at (0.500, 0.500, 0.500), As at (0.000, 0.000, 0.500) and Br at (0.000, 0.500, 0.000).

***

(A) ends up most stable, edging out the next structure by 3.6 kJ/mol of atoms.